[1]
V2NiPd4 | Alexandria | PBE | optimized geometry; M_tot = 0.0 μB per formula unit; mass density = 9.49 Mg/m³; total DFT energy (no corrections) = -6.431 eV per atom
1.0
6.290 0.000 -0.485
0.000 5.035 0.000
-2.905 0.000 6.700
V Ni Pd
4 2 8
Direct
0.810 0.750 0.020
0.190 0.250 0.980
0.436 0.250 0.474
0.564 0.750 0.526
0.227 0.750 0.171
0.773 0.250 0.829
0.598 0.499 0.216
0.001 0.750 0.779
0.999 0.250 0.221
0.598 0.001 0.216
0.935 0.250 0.575
0.402 0.999 0.784
0.402 0.501 0.784
0.065 0.750 0.425


[2]
VNi2Pd | Alexandria | PBE | optimized geometry; M_tot = 1.2 μB per formula unit; mass density = 9.07 Mg/m³; total DFT energy (no corrections) = -6.612 eV per atom
1.0
3.645 0.000 0.000
0.000 3.715 0.000
0.000 0.000 3.715
Ni Pd V
2 1 1
Direct
0.000 0.000 0.500
0.000 0.500 0.000
0.500 0.000 0.000
0.500 0.500 0.500


[3]
VZnNiPd | Alexandria | PBE | optimized geometry; M_tot = 1.0 μB per formula unit; mass density = 8.67 Mg/m³; total DFT energy (no corrections) = -5.496 eV per atom
1.0
-2.562 -2.020 -2.707
-0.669 -4.165 0.422
-3.774 -1.418 1.311
Ni Zn Pd V
1 1 1 1
Direct
0.750 0.750 0.750
0.000 0.000 0.000
0.250 0.250 0.250
0.500 0.500 0.500


[4]
Ni3Pd2W | Alexandria | PBE | optimized geometry; M_tot = 0.0 μB per formula unit; mass density = 11.99 Mg/m³; total DFT energy (no corrections) = -6.820 eV per atom
1.0
3.706 0.000 -0.955
-0.655 6.818 -2.540
-0.203 -1.371 6.877
Ni Pd W
6 4 2
Direct
0.500 0.250 0.000
0.500 0.750 0.000
0.159 0.409 0.317
0.841 0.091 0.683
0.841 0.591 0.683
0.159 0.909 0.317
0.662 0.662 0.323
0.338 0.838 0.677
0.662 0.162 0.323
0.338 0.338 0.677
0.000 0.500 0.000
0.000 0.000 0.000


[5]
Ni2PdW2 | Alexandria | PBE | optimized geometry; M_tot = 0.0 μB per formula unit; mass density = 14.04 Mg/m³; total DFT energy (no corrections) = -8.406 eV per atom
1.0
7.157 0.000 0.000
0.000 7.157 0.000
0.000 0.000 2.731
Ni Pd W
4 2 4
Direct
0.378 0.878 0.000
0.878 0.622 0.000
0.622 0.122 0.000
0.122 0.378 0.000
0.000 0.000 0.000
0.500 0.500 0.000
0.173 0.673 0.500
0.673 0.827 0.500
0.827 0.327 0.500
0.327 0.173 0.500


[6]
NiPd2W | Alexandria | PBE | optimized geometry; M_tot = 0.0 μB per formula unit; mass density = 13.12 Mg/m³; total DFT energy (no corrections) = -7.110 eV per atom
1.0
-0.193 -1.715 3.978
2.510 -3.383 1.026
3.316 0.515 2.746
Ni Pd W
1 2 1
Direct
0.750 0.750 0.750
0.000 0.000 0.000
0.250 0.250 0.250
0.500 0.500 0.500


[7]
Ni4PdW | Alexandria | PBE | optimized geometry; M_tot = 0.0 μB per formula unit; mass density = 11.71 Mg/m³; total DFT energy (no corrections) = -6.886 eV per atom
1.0
4.413 0.775 -0.011
-1.416 4.099 1.111
-0.019 0.116 7.791
Ni Pd W
8 2 2
Direct
0.995 0.500 0.165
0.505 0.500 0.335
0.005 0.500 0.835
0.495 0.500 0.665
0.249 0.000 0.583
0.251 0.000 0.917
0.751 0.000 0.417
0.749 0.000 0.083
0.250 0.000 0.250
0.750 0.000 0.750
0.500 0.500 0.000
0.000 0.500 0.500


[8]
NiPd4W | Alexandria | PBE | optimized geometry; M_tot = 0.0 μB per formula unit; mass density = 12.63 Mg/m³; total DFT energy (no corrections) = -6.612 eV per atom
1.0
4.733 0.399 0.383
1.977 4.319 0.383
1.521 1.069 9.112
Ni Pd W
2 8 2
Direct
0.500 0.000 0.500
0.000 0.500 0.000
0.403 0.258 0.750
0.162 0.679 0.497
0.838 0.321 0.503
0.258 0.403 0.250
0.742 0.597 0.750
0.321 0.838 0.003
0.679 0.162 0.997
0.597 0.742 0.250
0.916 0.084 0.250
0.084 0.916 0.750


[9]
Ni3PdW | Alexandria | PBE | optimized geometry; M_tot = 0.0 μB per formula unit; mass density = 8.74 Mg/m³; total DFT energy (no corrections) = -5.714 eV per atom
1.0
4.457 0.000 0.000
0.000 4.457 0.000
0.000 0.000 4.457
Ni Pd W
3 1 1
Direct
0.000 0.500 0.000
0.000 0.000 0.500
0.500 0.000 0.000
0.500 0.500 0.500
0.000 0.000 0.000


[10]
Ni4PdW | Alexandria | PBE | optimized geometry; M_tot = 0.0 μB per formula unit; mass density = 11.94 Mg/m³; total DFT energy (no corrections) = -6.945 eV per atom
1.0
4.692 0.000 0.000
2.346 4.063 0.000
2.346 1.354 3.831
Ni Pd W
4 1 1
Direct
0.625 0.625 0.126
0.625 0.126 0.625
0.625 0.625 0.625
0.126 0.625 0.625
0.000 0.000 0.000
0.250 0.250 0.250


[11]
Ni3PdW | Alexandria | PBE | optimized geometry; M_tot = 0.0 μB per formula unit; mass density = 11.23 Mg/m³; total DFT energy (no corrections) = -6.866 eV per atom
1.0
-1.530 -1.547 5.664
-4.284 -1.179 -1.480
0.235 -5.843 3.975
Ni Pd W
6 2 2
Direct
0.727 0.503 0.119
0.273 0.497 0.881
0.727 0.997 0.119
0.273 0.003 0.881
0.230 0.250 0.394
0.770 0.750 0.606
0.819 0.250 0.380
0.181 0.750 0.620
0.673 0.250 0.845
0.327 0.750 0.155


[12]
NiPd2W | Alexandria | PBE | optimized geometry; M_tot = 0.0 μB per formula unit; mass density = 13.00 Mg/m³; total DFT energy (no corrections) = -7.063 eV per atom
1.0
-0.588 -2.337 3.620
-3.874 -1.796 0.823
-0.495 -4.314 -0.252
Ni Pd W
1 2 1
Direct
0.000 0.000 0.000
0.250 0.250 0.250
0.750 0.750 0.750
0.500 0.500 0.500


[13]
Ni2Pd4W | Alexandria | PBE | optimized geometry; M_tot = 0.3 μB per formula unit; mass density = 11.16 Mg/m³; total DFT energy (no corrections) = -6.328 eV per atom
1.0
-1.966 4.936 0.169
-1.775 -0.325 -5.000
-1.469 -3.679 3.691
Ni Pd W
2 4 1
Direct
0.214 0.786 0.500
0.714 0.286 0.500
0.714 0.786 0.000
0.214 0.286 0.000
0.215 0.286 0.500
0.714 0.785 0.500
0.214 0.786 0.000


[14]
Ni7Pd2W | Alexandria | PBE | optimized geometry; M_tot = 3.5 μB per formula unit; mass density = 9.57 Mg/m³; total DFT energy (no corrections) = -6.037 eV per atom
1.0
-2.244 0.699 1.045
-2.266 -7.631 0.235
3.877 3.297 6.125
Ni Pd W
7 2 1
Direct
0.000 0.647 0.353
0.000 0.353 0.647
0.500 0.155 0.333
0.500 0.845 0.667
0.500 0.333 0.154
0.500 0.667 0.846
0.500 0.500 0.500
0.500 0.801 0.199
0.500 0.199 0.801
0.000 0.000 0.000


[15]
Ni6Pd2W | Alexandria | PBE | optimized geometry; M_tot = 0.0 μB per formula unit; mass density = 11.11 Mg/m³; total DFT energy (no corrections) = -6.396 eV per atom
1.0
-3.565 1.648 1.573
-0.470 -3.520 -3.065
3.903 0.304 8.525
Ni Pd W
6 2 1
Direct
0.550 0.099 0.164
0.450 0.901 0.836
0.903 0.806 0.176
0.673 0.347 0.494
0.097 0.194 0.824
0.327 0.653 0.506
0.768 0.537 0.824
0.232 0.463 0.176
0.000 0.000 0.500


[16]
NiPd5W | Alexandria | PBE | optimized geometry; M_tot = 0.1 μB per formula unit; mass density = 11.33 Mg/m³; total DFT energy (no corrections) = -6.129 eV per atom
1.0
-3.887 -0.127 -3.703
1.577 -1.869 -4.780
-3.488 -9.238 -2.744
Ni Pd W
2 10 2
Direct
0.000 0.000 0.000
0.000 0.000 0.500
0.567 0.903 0.261
0.288 0.439 0.480
0.903 0.567 0.761
0.082 0.918 0.250
0.561 0.712 0.020
0.439 0.288 0.980
0.918 0.082 0.750
0.097 0.433 0.239
0.712 0.561 0.520
0.433 0.097 0.739
0.660 0.340 0.250
0.340 0.660 0.750


[17]
Ni2Pd5W | Alexandria | PBE | optimized geometry; M_tot = 0.0 μB per formula unit; mass density = 12.04 Mg/m³; total DFT energy (no corrections) = -6.356 eV per atom
1.0
-0.080 -0.095 -3.821
1.219 -5.353 0.107
-10.673 -2.425 0.284
Ni Pd W
4 10 2
Direct
0.500 0.241 0.618
0.500 0.759 0.382
0.500 0.259 0.118
0.500 0.741 0.882
0.000 0.000 0.000
0.000 0.500 0.500
0.000 0.510 0.757
0.000 0.490 0.243
0.000 0.990 0.257
0.000 0.010 0.743
0.500 0.254 0.878
0.500 0.746 0.122
0.500 0.246 0.378
0.500 0.754 0.622
0.000 0.000 0.500
0.000 0.500 0.000


[18]
NiPd2W | Alexandria | PBE | optimized geometry; M_tot = 0.0 μB per formula unit; mass density = 12.07 Mg/m³; total DFT energy (no corrections) = -6.684 eV per atom
1.0
6.903 0.000 0.000
0.000 6.903 0.000
3.452 3.452 2.629
Ni Pd W
2 4 2
Direct
0.500 0.500 0.000
0.250 0.750 0.500
0.619 0.125 0.250
0.131 0.625 0.250
0.375 0.381 0.750
0.875 0.869 0.750
0.000 0.000 0.000
0.750 0.250 0.500


[19]
Ni6PdW | Alexandria | PBE | optimized geometry; M_tot = 0.0 μB per formula unit; mass density = 11.08 Mg/m³; total DFT energy (no corrections) = -6.655 eV per atom
1.0
3.639 0.000 0.000
0.000 3.639 0.000
0.000 0.000 7.270
Ni Pd W
6 1 1
Direct
0.500 0.500 0.000
0.500 0.500 0.500
0.500 0.000 0.259
0.500 0.000 0.741
0.000 0.500 0.259
0.000 0.500 0.741
0.000 0.000 0.000
0.000 0.000 0.500


[20]
Ni4Pd2W | Alexandria | PBE | optimized geometry; M_tot = 0.0 μB per formula unit; mass density = 11.35 Mg/m³; total DFT energy (no corrections) = -6.547 eV per atom
1.0
-6.175 1.554 1.988
2.125 -3.580 3.114
5.073 4.231 1.327
Ni Pd W
8 4 2
Direct
0.961 0.739 0.556
0.389 0.061 0.837
0.923 0.266 0.383
0.182 0.079 0.378
0.805 0.066 0.660
0.078 0.383 0.083
0.835 0.589 0.151
0.725 0.938 0.965
0.532 0.807 0.236
0.642 0.457 0.708
0.269 0.477 0.813
0.508 0.300 0.263
0.315 0.712 0.492
0.087 0.875 0.976